Material: CsKOs
Method: DFT, PBE-GGA
State: relaxed

```
CsKOs
1.0
-3.4187 0.5152 4.5569
-4.8622 2.9869 -0.3954
-5.0373 -2.7074 0.1169
Cs K Os
1 1 1
Direct
0.2500 0.2500 0.2500 Cs
0.7500 0.7500 0.7500 K
0.0000 0.0000 0.0000 Os
```

Spin magnetization (μB/atom): 0.67
Offset from the most stable computed form (kJ/mol of formula units): 0



Material: CsKOs
Method: DFT, PBE-GGA
State: relaxed

```
CsKOs
1.0
-5.2521 -0.9971 1.6175
-1.9709 2.3284 4.6785
-3.8309 4.0535 -0.2974
Cs K Os
1 1 1
Direct
0.0000 0.0000 0.0000 Cs
0.2500 0.2500 0.2500 K
0.7500 0.7500 0.7500 Os
```

Spin magnetization (μB/atom): 0.67
Offset from the most stable computed form (kJ/mol of formula units): 51



Material: CsK2P2Pt3
Method: DFT, PBE-GGA
State: relaxed

```
CsK2P2Pt3
1.0
2.8806 1.6631 7.0400
-2.8806 1.6631 7.0400
0.0000 -3.3262 7.0400
Cs K P Pt
1 2 2 3
Direct
0.5000 0.5000 0.5000 Cs
0.0853 0.0853 0.0853 K
0.9147 0.9147 0.9147 K
0.2540 0.2540 0.2540 P
0.7460 0.7460 0.7460 P
0.5000 0.5000 0.0000 Pt
0.5000 0.0000 0.5000 Pt
0.0000 0.5000 0.5000 Pt
```

Spin magnetization (μB/atom): 0.00



Material: Cs2K2ZnP2
Method: DFT, PBE-GGA
State: relaxed

```
Cs2K2ZnP2
1.0
2.9006 1.6747 9.4343
-2.9006 1.6747 9.4343
0.0000 -3.3494 9.4343
Cs K P Zn
2 2 2 1
Direct
0.2085 0.2085 0.2085 Cs
0.7915 0.7915 0.7915 Cs
0.3796 0.3796 0.3796 K
0.6204 0.6204 0.6204 K
0.0784 0.0784 0.0784 P
0.9216 0.9216 0.9216 P
0.0000 0.0000 0.0000 Zn
```

Offset from the most stable computed form (kJ/mol of formula units): 0



Material: CsKZn2P2
Method: DFT, PBE-GGA
State: relaxed

```
CsKZn2P2
1.0
4.1182 0.0000 0.0000
-2.0591 3.5664 0.0000
0.0000 0.0000 10.8445
Cs K P Zn
1 1 2 2
Direct
0.0000 0.0000 0.5000 Cs
0.0000 0.0000 0.0000 K
0.3333 0.6667 0.2338 P
0.6667 0.3333 0.7662 P
0.6667 0.3333 0.2330 Zn
0.3333 0.6667 0.7670 Zn
```



Material: Cs2K2ZnP2
Method: DFT, PBE-GGA
State: relaxed

```
Cs2K2ZnP2
1.0
6.5610 1.1672 6.5488
8.6608 3.2631 1.2800
4.8121 6.5964 4.5418
Cs K P Zn
2 2 2 1
Direct
0.3818 0.3818 0.3818 Cs
0.6182 0.6182 0.6182 Cs
0.2074 0.2074 0.2074 K
0.7926 0.7926 0.7926 K
0.0855 0.0855 0.0855 P
0.9145 0.9145 0.9145 P
0.0000 0.0000 0.0000 Zn
```

Offset from the most stable computed form (kJ/mol of formula units): 13



Material: CsKPa
Method: DFT, PBE-GGA
State: relaxed

```
CsKPa
1.0
0.0000 4.3811 4.3811
4.3811 0.0000 4.3811
4.3811 4.3811 0.0000
Cs K Pa
1 1 1
Direct
0.5000 0.5000 0.5000 Cs
0.2500 0.2500 0.2500 K
0.0000 0.0000 0.0000 Pa
```

Spin magnetization (μB/atom): 1.66



Material: CsKPaS3
Method: DFT, PBE-GGA
State: relaxed

```
CsKPaS3
1.0
2.0975 -8.9004 0.0000
2.0975 8.9004 0.0000
0.0000 0.0000 11.6240
Cs K Pa S
2 2 2 6
Direct
0.6677 0.3323 0.2500 Cs
0.3323 0.6677 0.7500 Cs
0.3833 0.6167 0.2500 K
0.6167 0.3833 0.7500 K
0.0000 0.0000 0.0000 Pa
0.0000 0.0000 0.5000 Pa
0.4012 0.5988 0.0030 S
0.0109 0.9891 0.2500 S
0.4012 0.5988 0.4970 S
0.5988 0.4012 0.5030 S
0.9891 0.0109 0.7500 S
0.5988 0.4012 0.9970 S
```

Spin magnetization (μB/atom): 0.17



Material: CsKTe2Pd
Method: DFT, PBE-GGA
State: relaxed

```
CsKTe2Pd
1.0
2.0480 -4.2743 5.3193
0.5570 4.7524 5.2786
-4.3734 -3.5074 -4.3966
Cs K Pd Te
1 1 1 2
Direct
0.8028 0.8028 0.0000 Cs
0.2036 0.2036 0.0000 K
0.4979 0.9979 0.5000 Pd
0.7099 0.4978 0.2121 Te
0.2858 0.4979 0.7879 Te
```



Material: CsKPt3
Method: DFT, PBE-GGA
State: relaxed

```
CsKPt3
1.0
5.2584 -3.8396 1.3028
5.4933 3.0804 2.1036
-6.4514 -0.4381 1.5093
Cs K Pt
1 1 3
Direct
0.2060 0.2060 0.0000 Cs
0.8025 0.8025 0.0000 K
0.7526 0.4980 0.2546 Pt
0.4955 0.9955 0.5000 Pt
0.2434 0.4980 0.7454 Pt
```

Spin magnetization (μB/atom): 0.02



Material: CsKPtSeS2
Method: DFT, PBE-GGA
State: relaxed

```
CsKPtSeS2
1.0
-6.9304 0.4172 -0.3160
-3.8642 -5.6524 3.0506
-3.5890 2.9998 8.0795
Cs K Pt S Se
2 2 2 4 2
Direct
0.3253 0.5522 0.3166 Cs
0.6747 0.4478 0.6834 Cs
0.0965 0.1779 0.1323 K
0.9035 0.8221 0.8677 K
0.6007 0.9648 0.3446 Pt
0.3993 0.0352 0.6554 Pt
0.6388 0.1411 0.0967 S
0.2471 0.9849 0.4963 S
0.7529 0.0151 0.5037 S
0.3612 0.8589 0.9033 S
0.8148 0.6489 0.2431 Se
0.1852 0.3511 0.7569 Se
```

Spin magnetization (μB/atom): 0.00



Material: CsKPuSe3
Method: DFT, PBE-GGA
State: relaxed

```
CsKPuSe3
1.0
7.4357 0.0000 0.0000
3.4967 7.7766 0.0000
2.7826 1.0517 8.6517
Cs K Pu Se
2 2 2 6
Direct
0.3395 0.5425 0.3091 Cs
0.6605 0.4575 0.6909 Cs
0.0858 0.2077 0.1266 K
0.9142 0.7923 0.8734 K
0.6522 0.9269 0.2974 Pu
0.3478 0.0731 0.7026 Pu
0.6455 0.1728 0.0559 Se
0.8439 0.5917 0.2551 Se
0.2643 0.9758 0.4707 Se
0.7357 0.0242 0.5293 Se
0.1561 0.4083 0.7449 Se
0.3545 0.8272 0.9441 Se
```

Spin magnetization (μB/atom): 0.67



no.,raw total energy (eV/cell)
1,-8.03
2,-7.50
3,-36.15
4,-18.66
5,-17.87
6,-18.53
7,-5.58
8,-63.27
9,-17.44
10,-20.59
11,-46.43
12,-66.46